This record from Alexandria describes a geometry-optimized LuZr3 structure. The functional is GGA-PBEsol.

Properties
Crystal system: hexagonal
DFT total energy (eV/atom): -8.025
Size of the total moment (Bohr magnetons per cell): 0.00

Cell lengths 6.4916, 6.4916, 5.1245 Å; angles 90.00, 90.00, 120.00 degrees
Space group P6_3/mmc (No. 194)
Inequivalent atoms, fractional coordinates:
Lu (0.3333, 0.6667, 0.2500) [2 per cell]
Zr (0.1636, 0.3272, 0.7500) [6 per cell]